LaNdPb2 | PBE-GGA | optimized geometry

extended XYZ file:
```
4
Lattice="3.652 0.000 0.000 0.000 3.652 0.000 0.000 0.000 9.272" Properties=species:S:1:pos:R:3 pbc="T T T"
Pb 0.000 0.000 6.918
Pb 0.000 0.000 2.354
Nd 1.826 1.826 4.636
La 1.826 1.826 0.000
```

Summary:
* theoretical density: 9.4 g/cm³
* D(E_F): 4.24 states/eV/cell
* energy of formation from the pure elements: -0.55 eV per atom